The following is a GGA-PBEsol calculation of crystalline CoGe3I at its relaxed geometry, from Alexandria.

Summary:
The value obtained for the total moment is 2.11 μB/cell. Its uncorrected energy is -3.0254 eV/atom.

Cell: 5.310 5.310 5.310 Å, 90.00 90.00 90.00°
Space group Pm-3m (No. 221)
Unique sites:
Co: 0.000 0.000 0.000 (multiplicity 1)
Ge: 0.000 0.500 0.500 (multiplicity 3)
I: 0.500 0.500 0.500 (multiplicity 1)